# Sc3CuPt

A PBEsol-optimized structure of Sc3CuPt (SCAN, Alexandria).

Summary:
Size of the total moment: 0.01 μB/cell
Crystal system: cubic
DFT formation energy: 0.1 kcal/mol of atoms

a b c (Å): 4.735 4.735 4.735
angles (deg): 90.00 90.00 90.00
Fractional positions:
Sc 0.000 0.000 0.500
Sc 0.000 0.500 0.000
Sc 0.500 0.000 0.000
Cu 0.000 0.000 0.000
Pt 0.500 0.500 0.500